Entry 1:
# AcNd3Ru

Crystalline AcNd3Ru at its relaxed geometry (PBE, the Alexandria database).

Cell lengths 5.6157, 5.6157, 5.6157 Å; angles 90.00, 90.00, 90.00 degrees
Last column: nearest neighbours and their distance in Å.
Element x y z (fractional)
Ac 0.0000 0.0000 0.0000  12 Nd 3.97
Nd 0.0000 0.5000 0.5000  2 Ru 2.81
Nd 0.5000 0.0000 0.5000  2 Ru 2.81
Nd 0.5000 0.5000 0.0000  2 Ru 2.81
Ru 0.5000 0.5000 0.5000  6 Nd 2.81

Properties
Energy of formation in eV per atom: -0.008
Uncorrected energy in eV/atom: -5.546
SG: Pm-3m (221)
Size of the total moment in μB/f.u.: 0.712
DOS(E_F) in states/eV per cell: 9.665

---

Entry 2:
# MgTe

Crystalline MgTe at its relaxed geometry (PBE, the Alexandria database).

Cell lengths 11.0757, 11.0757, 4.6795 Å; angles 90.00, 90.00, 120.00 degrees
Last column: nearest neighbours and their distance in Å.
Element x y z (fractional)
Mg 0.0708 0.4230 0.2500  4 Te 2.79-2.84
Mg 0.3522 0.9292 0.2500  4 Te 2.79-2.84
Mg 0.4230 0.3522 0.7500  4 Te 2.79-2.84
Mg 0.5770 0.6478 0.2500  4 Te 2.79-2.84
Mg 0.6478 0.0708 0.7500  4 Te 2.79-2.84
Mg 0.9292 0.5770 0.7500  4 Te 2.79-2.84
Te 0.0898 0.6887 0.2500  4 Mg 2.79-2.84
Te 0.3113 0.4012 0.2500  4 Mg 2.79-2.84
Te 0.4012 0.0898 0.7500  4 Mg 2.79-2.84
Te 0.5988 0.9102 0.2500  4 Mg 2.79-2.84
Te 0.6887 0.5988 0.7500  4 Mg 2.79-2.84
Te 0.9102 0.3113 0.7500  4 Mg 2.79-2.84

Properties
Uncorrected energy in eV/atom: -3.186
SG: P6_3/m (176)
Size of the total moment in μB/f.u.: 0.000
Formation energy (no corrections) in eV per atom: -0.818
DOS(E_F) in states/eV per cell: 0.000

---

Entry 3:
# Mn2TlIr2

Crystalline Mn2TlIr2 at its relaxed geometry (PBE, the Alexandria database).

Cell lengths 5.8116, 5.8116, 5.8116 Å; angles 140.58, 140.58, 56.98 degrees
Last column: nearest neighbours and their distance in Å.
Element x y z (fractional)
Mn 0.0998 0.0998 0.0000  1 Mn 2.04
Mn 0.9002 0.9002 0.0000  1 Mn 2.04
Tl 0.5000 0.5000 0.0000  8 Mn 2.95, 8 Ir 3.22
Ir 0.2500 0.7500 0.5000  4 Mn 2.49, 4 Ir 2.77
Ir 0.7500 0.2500 0.5000  4 Mn 2.49, 4 Ir 2.77

Properties
Energy of formation in eV per atom: 0.359
Uncorrected energy in eV/atom: -7.326
SG: I4/mmm (139)
Size of the total moment in μB/f.u.: 1.332
DOS(E_F) in states/eV per cell: 3.838

---

Entry 4:
# ZnNiHg2

Crystalline ZnNiHg2 at its relaxed geometry (PBE, the Alexandria database).

Cell lengths 4.6308, 4.6308, 4.6308 Å; angles 60.00, 60.00, 60.00 degrees
Last column: nearest neighbours and their distance in Å.
Element x y z (fractional)
Zn 0.0000 0.0000 0.0000  4 Ni 2.84, 4 Hg 2.84
Ni 0.7500 0.7500 0.7500  4 Hg 2.84, 4 Zn 2.84
Hg 0.2500 0.2500 0.2500  4 Hg 2.84, 4 Zn 2.84
Hg 0.5000 0.5000 0.5000  4 Ni 2.84, 4 Hg 2.84

Properties
Energy of formation in eV per atom: 0.287
Uncorrected energy in eV/atom: -1.628
SG: F-43m (216)
Size of the total moment in μB/f.u.: 0.000
DOS(E_F) in states/eV per cell: 2.348

---

Entry 5:
# K3Er3InTe8

Crystalline K3Er3InTe8 at its relaxed geometry (PBE, the Alexandria database).

Cell lengths 8.7234, 8.7234, 9.8991 Å; angles 116.25, 116.25, 59.86 degrees
Last column: nearest neighbours and their distance in Å.
Element x y z (fractional)
K 0.0000 0.0000 0.0000  6 Te 3.54-3.56
K 0.0000 0.5000 0.0000  6 Te 3.54-3.56
K 0.5000 0.0000 0.0000  6 Te 3.54-3.56
Er 0.0000 0.5000 0.5000  6 Te 3.06-3.08
Er 0.5000 0.0000 0.5000  6 Te 3.06-3.08
Er 0.5000 0.5000 0.5000  6 Te 3.06-3.08
In 0.0000 0.0000 0.5000  6 Te 3.07
Te 0.2353 0.2353 0.7047  2 Er 3.06, 1 In 3.07
Te 0.2353 0.7340 0.7048  2 Er 3.06, 1 In 3.07
Te 0.2641 0.2641 0.2923  3 Er 3.08
Te 0.2660 0.7647 0.2952  2 Er 3.06, 1 In 3.07
Te 0.7340 0.2353 0.7048  2 Er 3.06, 1 In 3.07
Te 0.7359 0.7359 0.7077  3 Er 3.08
Te 0.7647 0.2660 0.2952  2 Er 3.06, 1 In 3.07
Te 0.7647 0.7647 0.2953  2 Er 3.06, 1 In 3.07

Properties
Uncorrected energy in eV/atom: -4.084
SG: C2/m (12)
Size of the total moment in μB/f.u.: 0.000
Formation energy (no corrections) in eV per atom: -1.094
DOS(E_F) in states/eV per cell: 5.939

---

Entry 6:
# La2AuCl

Crystalline La2AuCl at its relaxed geometry (PBE, the Alexandria database).

Cell lengths 10.4673, 10.4673, 10.4673 Å; angles 22.19, 22.19, 22.19 degrees
Last column: nearest neighbours and their distance in Å.
Element x y z (fractional)
La 0.0000 0.0000 0.0000  3 Au 3.04
La 0.2332 0.2332 0.2332  3 Cl 2.93
Au 0.7307 0.7307 0.7307  3 La 3.04
Cl 0.5086 0.5086 0.5086  3 La 2.93

Properties
Uncorrected energy in eV/atom: -4.535
SG: R3m (160)
Size of the total moment in μB/f.u.: 1.635
Formation energy (no corrections) in eV per atom: -0.791
DOS(E_F) in states/eV per cell: 2.165

---

Q: The highest uncorrected energy belongs to which entry?
A: ZnNiHg2

---

Q: What is the uncorrected energy in the fifth record?
A: -4.084 eV/atom

---

Q: uncorrected energy of number 3 (Mn2TlIr2)?
A: -7.326 eV/atom

---

Q: Which of these has the highest uncorrected energy?
A: ZnNiHg2